Run P
# K2MnTc PBE-GGA optimized geometry
# Total moment   1.9 μB/f.u.
# SG   F-43m
# Calculated volume   428.7 Å³ per cell
data_K2MnTc
_chemical_formula_sum 'K8 Mn4 Tc4'
_space_group_name_H-M_alt 'P 1'
_space_group_IT_number 1
_space_group_name_Hall 'P 1'
_cell_length_a 7.540
_cell_length_b 7.540
_cell_length_c 7.540
_cell_angle_alpha 90.00
_cell_angle_beta 90.00
_cell_angle_gamma 90.00
loop_
_atom_site_label
_atom_site_type_symbol
_atom_site_fract_x
_atom_site_fract_y
_atom_site_fract_z
K1 K 0.000 0.000 0.000
K2 K 0.000 0.500 0.500
K3 K 0.250 0.250 0.250
K4 K 0.250 0.750 0.750
K5 K 0.500 0.000 0.500
K6 K 0.500 0.500 0.000
K7 K 0.750 0.250 0.750
K8 K 0.750 0.750 0.250
Mn1 Mn 0.000 0.000 0.500
Mn2 Mn 0.000 0.500 0.000
Mn3 Mn 0.500 0.000 0.000
Mn4 Mn 0.500 0.500 0.500
Tc1 Tc 0.250 0.250 0.750
Tc2 Tc 0.250 0.750 0.250
Tc3 Tc 0.750 0.250 0.250
Tc4 Tc 0.750 0.750 0.750

Run Q
# K2MnTc PBE-GGA optimized geometry
# Total moment   1.9 μB/f.u.
# SG   Cm
# Calculated volume   270.4 Å³ per cell
data_K2MnTc
_chemical_formula_sum 'K4 Mn2 Tc2'
_space_group_name_H-M_alt 'P 1'
_space_group_IT_number 1
_space_group_name_Hall 'P 1'
_cell_length_a 6.879
_cell_length_b 3.971
_cell_length_c 10.118
_cell_angle_alpha 90.00
_cell_angle_beta 101.98
_cell_angle_gamma 90.00
loop_
_atom_site_label
_atom_site_type_symbol
_atom_site_fract_x
_atom_site_fract_y
_atom_site_fract_z
K1 K 0.000 0.000 0.000
K2 K 0.169 0.000 0.550
K3 K 0.500 0.500 0.000
K4 K 0.669 0.500 0.550
Mn1 Mn 0.251 0.500 0.275
Mn2 Mn 0.751 0.000 0.275
Tc1 Tc 0.418 0.000 0.275
Tc2 Tc 0.918 0.500 0.275

Which of them is the least stable? Correct choice: run P.

Run P
# K2MnTc PBE-GGA optimized geometry
# Total moment   1.6 μB/f.u.
# SG   C2/m
# Calculated volume   243.0 Å³ per cell
data_K2MnTc
_chemical_formula_sum 'K4 Mn2 Tc2'
_space_group_name_H-M_alt 'P 1'
_space_group_IT_number 1
_space_group_name_Hall 'P 1'
_cell_length_a 20.924
_cell_length_b 3.379
_cell_length_c 3.476
_cell_angle_alpha 90.00
_cell_angle_beta 98.65
_cell_angle_gamma 90.00
loop_
_atom_site_label
_atom_site_type_symbol
_atom_site_fract_x
_atom_site_fract_y
_atom_site_fract_z
K1 K 0.148 0.000 0.133
K2 K 0.352 0.500 0.867
K3 K 0.648 0.500 0.133
K4 K 0.852 0.000 0.867
Mn1 Mn 0.000 0.500 0.000
Mn2 Mn 0.500 0.000 0.000
Tc1 Tc 0.000 0.000 0.500
Tc2 Tc 0.500 0.500 0.500

Run Q
# K2MnTc PBE-GGA optimized geometry
# Total moment   2.3 μB/f.u.
# SG   I4/mmm
# Calculated volume   194.6 Å³ per cell
data_K2MnTc
_chemical_formula_sum 'K4 Mn2 Tc2'
_space_group_name_H-M_alt 'P 1'
_space_group_IT_number 1
_space_group_name_Hall 'P 1'
_cell_length_a 4.073
_cell_length_b 4.073
_cell_length_c 11.732
_cell_angle_alpha 90.00
_cell_angle_beta 90.00
_cell_angle_gamma 90.00
loop_
_atom_site_label
_atom_site_type_symbol
_atom_site_fract_x
_atom_site_fract_y
_atom_site_fract_z
K1 K 0.000 0.500 0.250
K2 K 0.000 0.500 0.750
K3 K 0.500 0.000 0.250
K4 K 0.500 0.000 0.750
Mn1 Mn 0.000 0.000 0.000
Mn2 Mn 0.500 0.500 0.500
Tc1 Tc 0.000 0.000 0.500
Tc2 Tc 0.500 0.500 0.000

Which of them is the least stable? Correct choice: run Q.

Run P
# K2MnTc PBE-GGA optimized geometry
# Total moment   1.3 μB/f.u.
# SG   I-42d
# Calculated volume   735.6 Å³ per cell
data_K2MnTc
_chemical_formula_sum 'K8 Mn4 Tc4'
_space_group_name_H-M_alt 'P 1'
_space_group_IT_number 1
_space_group_name_Hall 'P 1'
_cell_length_a 12.804
_cell_length_b 12.804
_cell_length_c 4.487
_cell_angle_alpha 90.00
_cell_angle_beta 90.00
_cell_angle_gamma 90.00
loop_
_atom_site_label
_atom_site_type_symbol
_atom_site_fract_x
_atom_site_fract_y
_atom_site_fract_z
K1 K 0.076 0.750 0.125
K2 K 0.250 0.076 0.875
K3 K 0.250 0.424 0.375
K4 K 0.424 0.750 0.625
K5 K 0.576 0.250 0.625
K6 K 0.750 0.576 0.375
K7 K 0.750 0.924 0.875
K8 K 0.924 0.250 0.125
Mn1 Mn 0.000 0.000 0.000
Mn2 Mn 0.000 0.500 0.250
Mn3 Mn 0.500 0.000 0.750
Mn4 Mn 0.500 0.500 0.500
Tc1 Tc 0.000 0.000 0.500
Tc2 Tc 0.000 0.500 0.750
Tc3 Tc 0.500 0.000 0.250
Tc4 Tc 0.500 0.500 0.000

Run Q
# K2MnTc PBE-GGA optimized geometry
# Total moment   3.5 μB/f.u.
# SG   P2/m
# Calculated volume   89.6 Å³ per cell
data_K2MnTc
_chemical_formula_sum 'K2 Mn1 Tc1'
_space_group_name_H-M_alt 'P 1'
_space_group_IT_number 1
_space_group_name_Hall 'P 1'
_cell_length_a 2.847
_cell_length_b 5.969
_cell_length_c 5.297
_cell_angle_alpha 90.00
_cell_angle_beta 95.74
_cell_angle_gamma 90.00
loop_
_atom_site_label
_atom_site_type_symbol
_atom_site_fract_x
_atom_site_fract_y
_atom_site_fract_z
K1 K 0.226 0.000 0.250
K2 K 0.774 0.000 0.750
Mn1 Mn 0.000 0.500 0.500
Tc1 Tc 0.500 0.500 0.000

Run R
# K2MnTc PBE-GGA optimized geometry
# Total moment   0.0 μB/f.u.
# SG   Imm2
# Calculated volume   236.1 Å³ per cell
data_K2MnTc
_chemical_formula_sum 'K4 Mn2 Tc2'
_space_group_name_H-M_alt 'P 1'
_space_group_IT_number 1
_space_group_name_Hall 'P 1'
_cell_length_a 3.386
_cell_length_b 6.092
_cell_length_c 11.446
_cell_angle_alpha 90.00
_cell_angle_beta 90.00
_cell_angle_gamma 90.00
loop_
_atom_site_label
_atom_site_type_symbol
_atom_site_fract_x
_atom_site_fract_y
_atom_site_fract_z
K1 K 0.000 0.000 0.000
K2 K 0.000 0.500 0.204
K3 K 0.500 0.000 0.704
K4 K 0.500 0.500 0.500
Mn1 Mn 0.000 0.500 0.789
Mn2 Mn 0.500 0.000 0.289
Tc1 Tc 0.000 0.000 0.404
Tc2 Tc 0.500 0.500 0.904

Which of them is the least stable? Correct choice: run Q.

Run P
# K2MnTc PBE-GGA optimized geometry
# Total moment   3.9 μB/f.u.
# SG   Cmmm
# Calculated volume   182.9 Å³ per cell
data_K2MnTc
_chemical_formula_sum 'K4 Mn2 Tc2'
_space_group_name_H-M_alt 'P 1'
_space_group_IT_number 1
_space_group_name_Hall 'P 1'
_cell_length_a 3.294
_cell_length_b 4.649
_cell_length_c 11.944
_cell_angle_alpha 90.00
_cell_angle_beta 90.00
_cell_angle_gamma 90.00
loop_
_atom_site_label
_atom_site_type_symbol
_atom_site_fract_x
_atom_site_fract_y
_atom_site_fract_z
K1 K 0.000 0.000 0.238
K2 K 0.000 0.000 0.762
K3 K 0.500 0.500 0.238
K4 K 0.500 0.500 0.762
Mn1 Mn 0.000 0.500 0.500
Mn2 Mn 0.500 0.000 0.500
Tc1 Tc 0.000 0.500 0.000
Tc2 Tc 0.500 0.000 0.000

Run Q
# K2MnTc PBE-GGA optimized geometry
# Total moment   3.1 μB/f.u.
# SG   C2/m
# Calculated volume   179.6 Å³ per cell
data_K2MnTc
_chemical_formula_sum 'K4 Mn2 Tc2'
_space_group_name_H-M_alt 'P 1'
_space_group_IT_number 1
_space_group_name_Hall 'P 1'
_cell_length_a 5.765
_cell_length_b 11.958
_cell_length_c 2.869
_cell_angle_alpha 90.00
_cell_angle_beta 114.76
_cell_angle_gamma 90.00
loop_
_atom_site_label
_atom_site_type_symbol
_atom_site_fract_x
_atom_site_fract_y
_atom_site_fract_z
K1 K 0.250 0.250 0.000
K2 K 0.250 0.750 0.000
K3 K 0.750 0.250 0.000
K4 K 0.750 0.750 0.000
Mn1 Mn 0.000 0.000 0.500
Mn2 Mn 0.500 0.500 0.500
Tc1 Tc 0.000 0.500 0.500
Tc2 Tc 0.500 0.000 0.500

Which of them is the least stable? Correct choice: run Q.

Run P
# K2MnTc PBE-GGA optimized geometry
# Total moment   2.6 μB/f.u.
# SG   R-3m
# Calculated volume   266.3 Å³ per cell
data_K2MnTc
_chemical_formula_sum 'K6 Mn3 Tc3'
_space_group_name_H-M_alt 'P 1'
_space_group_IT_number 1
_space_group_name_Hall 'P 1'
_cell_length_a 2.926
_cell_length_b 2.926
_cell_length_c 35.915
_cell_angle_alpha 90.00
_cell_angle_beta 90.00
_cell_angle_gamma 120.00
loop_
_atom_site_label
_atom_site_type_symbol
_atom_site_fract_x
_atom_site_fract_y
_atom_site_fract_z
K1 K 0.000 0.000 0.086
K2 K 0.000 0.000 0.914
K3 K 0.333 0.667 0.580
K4 K 0.333 0.667 0.753
K5 K 0.667 0.333 0.247
K6 K 0.667 0.333 0.420
Mn1 Mn 0.000 0.000 0.000
Mn2 Mn 0.333 0.667 0.667
Mn3 Mn 0.667 0.333 0.333
Tc1 Tc 0.000 0.000 0.500
Tc2 Tc 0.333 0.667 0.167
Tc3 Tc 0.667 0.333 0.833

Run Q
# K2MnTc PBE-GGA optimized geometry
# Total moment   8.0 μB/f.u.
# SG   Fm-3m
# Calculated volume   526.0 Å³ per cell
data_K2MnTc
_chemical_formula_sum 'K8 Mn4 Tc4'
_space_group_name_H-M_alt 'P 1'
_space_group_IT_number 1
_space_group_name_Hall 'P 1'
_cell_length_a 8.072
_cell_length_b 8.072
_cell_length_c 8.072
_cell_angle_alpha 90.00
_cell_angle_beta 90.00
_cell_angle_gamma 90.00
loop_
_atom_site_label
_atom_site_type_symbol
_atom_site_fract_x
_atom_site_fract_y
_atom_site_fract_z
K1 K 0.250 0.250 0.250
K2 K 0.250 0.250 0.750
K3 K 0.250 0.750 0.250
K4 K 0.250 0.750 0.750
K5 K 0.750 0.250 0.250
K6 K 0.750 0.250 0.750
K7 K 0.750 0.750 0.250
K8 K 0.750 0.750 0.750
Mn1 Mn 0.000 0.000 0.000
Mn2 Mn 0.000 0.500 0.500
Mn3 Mn 0.500 0.000 0.500
Mn4 Mn 0.500 0.500 0.000
Tc1 Tc 0.000 0.000 0.500
Tc2 Tc 0.000 0.500 0.000
Tc3 Tc 0.500 0.000 0.000
Tc4 Tc 0.500 0.500 0.500

Which of them is the least stable? Correct choice: run Q.

Run P
# KMn2Tc PBE-GGA optimized geometry
# Total moment   7.0 μB/f.u.
# SG   I-4m2
# Calculated volume   151.5 Å³ per cell
data_KMn2Tc
_chemical_formula_sum 'K2 Mn4 Tc2'
_space_group_name_H-M_alt 'P 1'
_space_group_IT_number 1
_space_group_name_Hall 'P 1'
_cell_length_a 4.050
_cell_length_b 4.050
_cell_length_c 9.234
_cell_angle_alpha 90.00
_cell_angle_beta 90.00
_cell_angle_gamma 90.00
loop_
_atom_site_label
_atom_site_type_symbol
_atom_site_fract_x
_atom_site_fract_y
_atom_site_fract_z
K1 K 0.000 0.000 0.000
K2 K 0.500 0.500 0.500
Mn1 Mn 0.000 0.000 0.500
Mn2 Mn 0.000 0.500 0.750
Mn3 Mn 0.500 0.000 0.250
Mn4 Mn 0.500 0.500 0.000
Tc1 Tc 0.000 0.500 0.250
Tc2 Tc 0.500 0.000 0.750

Run Q
# KMn2Tc PBE-GGA optimized geometry
# Total moment   6.5 μB/f.u.
# SG   R-3m
# Calculated volume   224.9 Å³ per cell
data_KMn2Tc
_chemical_formula_sum 'K3 Mn6 Tc3'
_space_group_name_H-M_alt 'P 1'
_space_group_IT_number 1
_space_group_name_Hall 'P 1'
_cell_length_a 2.932
_cell_length_b 2.932
_cell_length_c 30.211
_cell_angle_alpha 90.00
_cell_angle_beta 90.00
_cell_angle_gamma 120.00
loop_
_atom_site_label
_atom_site_type_symbol
_atom_site_fract_x
_atom_site_fract_y
_atom_site_fract_z
K1 K 0.000 0.000 0.000
K2 K 0.333 0.667 0.667
K3 K 0.667 0.333 0.333
Mn1 Mn 0.000 0.000 0.232
Mn2 Mn 0.000 0.000 0.768
Mn3 Mn 0.333 0.667 0.435
Mn4 Mn 0.333 0.667 0.899
Mn5 Mn 0.667 0.333 0.101
Mn6 Mn 0.667 0.333 0.565
Tc1 Tc 0.000 0.000 0.500
Tc2 Tc 0.333 0.667 0.167
Tc3 Tc 0.667 0.333 0.833

Run R
# KMn2Tc PBE-GGA optimized geometry
# Total moment   7.6 μB/f.u.
# SG   Cmmm
# Calculated volume   143.8 Å³ per cell
data_KMn2Tc
_chemical_formula_sum 'K2 Mn4 Tc2'
_space_group_name_H-M_alt 'P 1'
_space_group_IT_number 1
_space_group_name_Hall 'P 1'
_cell_length_a 6.670
_cell_length_b 7.925
_cell_length_c 2.721
_cell_angle_alpha 90.00
_cell_angle_beta 90.00
_cell_angle_gamma 90.00
loop_
_atom_site_label
_atom_site_type_symbol
_atom_site_fract_x
_atom_site_fract_y
_atom_site_fract_z
K1 K 0.000 0.000 0.000
K2 K 0.500 0.500 0.000
Mn1 Mn 0.250 0.250 0.500
Mn2 Mn 0.250 0.750 0.500
Mn3 Mn 0.750 0.250 0.500
Mn4 Mn 0.750 0.750 0.500
Tc1 Tc 0.000 0.500 0.000
Tc2 Tc 0.500 0.000 0.000

Which of them is the least stable? Correct choice: run P.